This record from Alexandria describes a relaxed structure of Pm2Cd4Ag. The functional is GGA-PBE.

a b c (Å): 4.929 4.929 8.789
angles (deg): 106.63 106.63 60.08
Atoms (fractional coordinates):
Pm  0.072  0.072  0.216
Pm  0.928  0.928  0.784
Cd  0.199  0.199  0.599
Cd  0.325  0.325  0.975
Cd  0.675  0.675  0.025
Cd  0.801  0.801  0.401
Ag  0.500  0.500  0.500

Computed properties:
magnetization = 0.00 μB/f.u.
final energy = -2.58 eV per atom
formation energy from the elements = -289.2 meV/atom